[1]
DFT (PBE) results for HoRe2 after structural relaxation.

Cell and atoms, written as POSCAR:
```
HoRe2
1.0
5.3972 0.0000 0.0000
-2.6986 4.6741 0.0000
0.0000 0.0000 8.7991
Ho Re
4 8
Direct
0.3333 0.6667 0.0620
0.3333 0.6667 0.4380
0.6667 0.3333 0.5620
0.6667 0.3333 0.9380
0.0000 0.0000 0.0000
0.0000 0.0000 0.5000
0.1711 0.3422 0.7500
0.1711 0.8289 0.7500
0.3422 0.1711 0.2500
0.6578 0.8289 0.7500
0.8289 0.1711 0.2500
0.8289 0.6578 0.2500
```

energy relative to the elements	-0.24	eV per atom

[2]
DFT (PBE) results for SmZrU after structural relaxation.

Cell and atoms, written as POSCAR:
```
SmZrU
1.0
0.0000 3.5672 3.5672
3.5672 0.0000 3.5672
3.5672 3.5672 0.0000
Sm Zr U
1 1 1
Direct
0.0000 0.0000 0.0000
0.5000 0.5000 0.5000
0.2500 0.2500 0.2500
```

energy relative to the elements	1.26	eV per atom

> Which value of energy relative to the elements does entry 2 give?

1.26 eV per atom

Please write out number 2 again, unchanged.
DFT (PBE) results for SmZrU after structural relaxation.

Cell and atoms, written as POSCAR:
```
SmZrU
1.0
0.0000 3.5672 3.5672
3.5672 0.0000 3.5672
3.5672 3.5672 0.0000
Sm Zr U
1 1 1
Direct
0.0000 0.0000 0.0000
0.5000 0.5000 0.5000
0.2500 0.2500 0.2500
```

energy relative to the elements	1.26	eV per atom

Copy entry 1 word for word.
DFT (PBE) results for HoRe2 after structural relaxation.

Cell and atoms, written as POSCAR:
```
HoRe2
1.0
5.3972 0.0000 0.0000
-2.6986 4.6741 0.0000
0.0000 0.0000 8.7991
Ho Re
4 8
Direct
0.3333 0.6667 0.0620
0.3333 0.6667 0.4380
0.6667 0.3333 0.5620
0.6667 0.3333 0.9380
0.0000 0.0000 0.0000
0.0000 0.0000 0.5000
0.1711 0.3422 0.7500
0.1711 0.8289 0.7500
0.3422 0.1711 0.2500
0.6578 0.8289 0.7500
0.8289 0.1711 0.2500
0.8289 0.6578 0.2500
```

energy relative to the elements	-0.24	eV per atom